# TaCd2NiO6 (PBE+U, optimized geometry)
# Electronic total energy in eV per atom: -6.125
# Density in g cm⁻³: 7.97
data_TaCd2NiO6
_cell_length_a 5.426
_cell_length_b 5.555
_cell_length_c 9.446
_cell_angle_alpha 90.00
_cell_angle_beta 124.93
_cell_angle_gamma 90.00
_symmetry_space_group_name_H-M 'P 1'
_symmetry_Int_Tables_number 1
loop_
_symmetry_equiv_pos_as_xyz
'x,y,z'
loop_
_atom_site_label
_atom_site_type_symbol
_atom_site_fract_x
_atom_site_fract_y
_atom_site_fract_z
Ta1 Ta 0.000 0.000 0.000
Ta2 Ta 0.000 0.500 0.500
Cd1 Cd 0.236 0.043 0.749
Cd2 Cd 0.236 0.457 0.249
Cd3 Cd 0.764 0.543 0.751
Cd4 Cd 0.764 0.957 0.251
Ni1 Ni 0.500 0.000 0.500
Ni2 Ni 0.500 0.500 0.000
O1 O 0.142 0.209 0.444
O2 O 0.142 0.291 0.944
O3 O 0.248 0.706 0.450
O4 O 0.248 0.794 0.950
O5 O 0.351 0.034 0.250
O6 O 0.351 0.466 0.750
O7 O 0.649 0.534 0.250
O8 O 0.649 0.966 0.750
O9 O 0.752 0.206 0.050
O10 O 0.752 0.294 0.550
O11 O 0.858 0.709 0.056
O12 O 0.858 0.791 0.556